(1)
DFT (GGA-PBEsol) results for BaMn2Pt after structural relaxation.

a = 5.3472 Å, b = 5.3472 Å, c = 5.3472 Å
α = 133.16°, β = 133.16°, γ = 68.40°
Closest atoms and distances in Å follow each position.
Sites, in units of the cell vectors:
Ba 0.0000 0.0000 0.0000  8 Mn 3.01-3.07, 4 Pt 3.07
Mn 0.2500 0.7500 0.5000  4 Pt 3.01, 4 Ba 3.07, 4 Mn 3.07
Mn 0.5000 0.5000 0.0000  4 Ba 3.01, 4 Mn 3.07, 4 Pt 3.07
Pt 0.7500 0.2500 0.5000  8 Mn 3.01-3.07, 4 Ba 3.07

Properties
Space-group type ... No. 119
Uncorrected energy ... -25.92 eV per cell

---

(2)
DFT (GGA-PBEsol) results for Li3In after structural relaxation.

a = 5.1965 Å, b = 5.1965 Å, c = 5.1965 Å
α = 134.10°, β = 134.10°, γ = 66.93°
Closest atoms and distances in Å follow each position.
Sites, in units of the cell vectors:
Li 0.0000 0.0000 0.0000  4 In 2.87, 8 Li 2.97
Li 0.2500 0.7500 0.5000  8 Li 2.87-2.97, 4 In 2.97
Li 0.7500 0.2500 0.5000  8 Li 2.87-2.97, 4 In 2.97
In 0.5000 0.5000 0.0000  12 Li 2.87-2.97

Properties
Space-group type ... No. 139
Uncorrected energy ... -9.88 eV per cell

---

(3)
DFT (GGA-PBEsol) results for CuTcAsBr2 after structural relaxation.

a = 4.7585 Å, b = 4.7585 Å, c = 4.9025 Å
α = 90.00°, β = 90.00°, γ = 90.00°
Closest atoms and distances in Å follow each position.
Sites, in units of the cell vectors:
Cu 0.0000 0.0000 0.0000  4 Br 2.38, 2 As 2.45
Tc 0.5000 0.5000 0.5000  4 As 3.36, 8 Br 3.42
As 0.0000 0.0000 0.5000  2 Cu 2.45
Br 0.0000 0.5000 0.0000  2 Cu 2.38
Br 0.5000 0.0000 0.0000  2 Cu 2.38

Properties
Space-group type ... No. 123
Formation energy from raw total energies ... 5.14 eV per formula unit

---

(4)
DFT (GGA-PBEsol) results for La2YSe after structural relaxation.

a = 6.0311 Å, b = 6.0311 Å, c = 6.0311 Å
α = 135.45°, β = 135.45°, γ = 64.83°
Closest atoms and distances in Å follow each position.
Sites, in units of the cell vectors:
La 0.0000 0.0000 0.0000  4 Se 3.23, 4 La 3.42, 4 Y 3.42
La 0.7500 0.2500 0.5000  4 Y 3.23, 4 La 3.42, 4 Se 3.42
Y 0.2500 0.7500 0.5000  8 La 3.23-3.42, 4 Se 3.42
Se 0.5000 0.5000 0.0000  8 La 3.23-3.42, 4 Y 3.42

Properties
Space-group type ... No. 119
Formation energy from raw total energies ... -2.13 eV per formula unit

---

(5)
DFT (GGA-PBEsol) results for K2ZrSe after structural relaxation.

a = 3.5699 Å, b = 3.7394 Å, c = 11.0452 Å
α = 90.00°, β = 98.45°, γ = 90.00°
Closest atoms and distances in Å follow each position.
Sites, in units of the cell vectors:
K 0.0000 0.0000 0.0000  4 Se 3.21, 2 K 3.57
K 0.2787 0.5000 0.6182  4 K 3.57-3.74
Zr 0.6515 0.0000 0.3353  2 Se 2.57
Se 0.5792 0.5000 0.1741  2 Zr 2.57

Properties
Space-group type ... No. 6
Formation energy from raw total energies ... -0.60 eV per formula unit

---

(6)
DFT (GGA-PBEsol) results for BeSi2Br after structural relaxation.

a = 4.4379 Å, b = 4.4379 Å, c = 4.4379 Å
α = 109.21°, β = 109.21°, γ = 109.99°
Closest atoms and distances in Å follow each position.
Sites, in units of the cell vectors:
Be 0.0000 0.0000 0.0000  2 Br 2.55, 4 Si 2.57
Si 0.0000 0.5000 0.5000  2 Si 2.55, 2 Br 2.57, 2 Be 2.57
Si 0.5000 0.0000 0.5000  2 Si 2.55, 2 Br 2.57, 2 Be 2.57
Br 0.5000 0.5000 0.0000  2 Be 2.55, 4 Si 2.57

Properties
Space-group type ... No. 139
Formation energy from raw total energies ... 1.94 eV per formula unit